# 1
! RePW3 (PBE, optimized geometry); values from VASP
&SYSTEM
  ibrav = 0, nat = 5, ntyp = 3
/
ATOMIC_SPECIES
Re 186.21 Re.upf
W 183.84 W.upf
P 30.97 P.upf
CELL_PARAMETERS angstrom
4.7639 0.0000 0.0000
0.0000 4.7639 0.0000
0.0000 0.0000 4.7639
ATOMIC_POSITIONS crystal
Re 0.0000 0.0000 0.0000
W 0.0000 0.0000 0.5000
W 0.0000 0.5000 0.0000
W 0.5000 0.0000 0.0000
P 0.5000 0.5000 0.5000
! SG   Pm-3m, No. 221
! Energy relative to the lowest polymorph listed for this composition   1230 meV/atom

=====

# 2
! Re2PW (PBE, optimized geometry); values from VASP
&SYSTEM
  ibrav = 0, nat = 4, ntyp = 3
/
ATOMIC_SPECIES
Re 186.21 Re.upf
P 30.97 P.upf
W 183.84 W.upf
CELL_PARAMETERS angstrom
4.0469 0.0000 0.0000
0.0000 2.8274 -0.0049
0.0000 1.1856 5.1513
ATOMIC_POSITIONS crystal
Re 0.0000 0.8387 0.2663
Re 0.0000 0.1613 0.7337
P 0.5000 0.5000 0.5000
W 0.5000 0.5000 0.0000
! SG   P2/m, No. 10

=====

# 3
! RePW2 (PBE, optimized geometry); values from VASP
&SYSTEM
  ibrav = 0, nat = 4, ntyp = 3
/
ATOMIC_SPECIES
P 30.97 P.upf
W 183.84 W.upf
Re 186.21 Re.upf
CELL_PARAMETERS angstrom
1.4893 4.9254 -0.0071
-1.4893 4.9254 -0.0071
0.0000 2.0964 4.0360
ATOMIC_POSITIONS crystal
P 0.5032 0.5032 0.5507
W 0.7818 0.7818 0.6981
W 0.9968 0.9968 0.9886
Re 0.2182 0.2182 0.2627
! SG   Cm, No. 8

=====

# 4
! ReP2W (PBE, optimized geometry); values from VASP
&SYSTEM
  ibrav = 0, nat = 4, ntyp = 3
/
ATOMIC_SPECIES
W 183.84 W.upf
P 30.97 P.upf
Re 186.21 Re.upf
CELL_PARAMETERS angstrom
3.1335 0.0000 0.0000
0.0000 3.1335 0.0000
0.0000 0.0000 5.6461
ATOMIC_POSITIONS crystal
W 0.5000 0.5000 0.8071
P 0.5000 0.5000 0.2596
P 0.0000 0.0000 0.9920
Re 0.0000 0.0000 0.4413
! SG   P4mm, No. 99

=====

# 5
! ReP2W (PBE, optimized geometry); values from VASP
&SYSTEM
  ibrav = 0, nat = 4, ntyp = 3
/
ATOMIC_SPECIES
P 30.97 P.upf
W 183.84 W.upf
Re 186.21 Re.upf
CELL_PARAMETERS angstrom
-0.0564 -2.1969 3.4847
2.1291 -3.0660 1.7433
3.3436 2.5460 2.9256
ATOMIC_POSITIONS crystal
P 0.4981 0.4981 0.5081
P 0.0019 0.0019 0.9919
W 0.2500 0.2500 0.2500
Re 0.7500 0.7500 0.7500
! SG   C2/m, No. 12

=====

# 6
! Re2PW (PBE, optimized geometry); values from VASP
&SYSTEM
  ibrav = 0, nat = 4, ntyp = 3
/
ATOMIC_SPECIES
Re 186.21 Re.upf
W 183.84 W.upf
P 30.97 P.upf
CELL_PARAMETERS angstrom
2.8827 0.0000 0.0000
0.0000 4.0240 0.0000
0.0000 0.0000 5.0640
ATOMIC_POSITIONS crystal
Re 0.0000 0.0000 0.9991
Re 0.5000 0.5000 0.2415
W 0.0000 0.0000 0.5094
P 0.5000 0.5000 0.7501
! SG   Pmm2, No. 25

=====

# 7
! Re2PW (PBE, optimized geometry); values from VASP
&SYSTEM
  ibrav = 0, nat = 4, ntyp = 3
/
ATOMIC_SPECIES
Re 186.21 Re.upf
P 30.97 P.upf
W 183.84 W.upf
CELL_PARAMETERS angstrom
1.5173 -2.3505 0.0000
1.5173 2.3505 0.0000
0.0000 0.0000 8.2855
ATOMIC_POSITIONS crystal
Re 0.0000 0.0000 0.0246
Re 0.5000 0.5000 0.7496
P 0.5000 0.5000 0.2459
W 0.0000 0.0000 0.4800
! SG   Cmm2, No. 35

=====

# 8
! Re2PW (PBE, optimized geometry); values from VASP
&SYSTEM
  ibrav = 0, nat = 8, ntyp = 3
/
ATOMIC_SPECIES
Re 186.21 Re.upf
W 183.84 W.upf
P 30.97 P.upf
CELL_PARAMETERS angstrom
-0.9932 0.6961 3.7091
3.6975 -0.5881 1.1005
3.0079 8.3727 1.2870
ATOMIC_POSITIONS crystal
Re 0.1721 0.6250 0.2500
Re 0.5779 0.1250 0.2500
Re 0.3750 0.4221 0.7500
Re 0.8750 0.8279 0.7500
W 0.7500 0.2500 0.5000
W 0.0000 0.0000 0.0000
P 0.5000 0.5000 0.0000
P 0.2500 0.7500 0.5000
! SG   I-42d, No. 122

=====

# 9
! Re2PW (PBE, optimized geometry); values from VASP
&SYSTEM
  ibrav = 0, nat = 4, ntyp = 3
/
ATOMIC_SPECIES
P 30.97 P.upf
Re 186.21 Re.upf
W 183.84 W.upf
CELL_PARAMETERS angstrom
-1.1495 -3.7259 2.3201
-0.8374 -4.4350 -0.4651
4.5579 -1.2601 0.8316
ATOMIC_POSITIONS crystal
P 0.0000 0.0000 0.5000
Re 0.7588 0.7588 0.2599
Re 0.2412 0.2412 0.7401
W 0.5000 0.5000 0.0000
! SG   C2/m, No. 12

=====

# 10
! ReP2W (PBE, optimized geometry); values from VASP
&SYSTEM
  ibrav = 0, nat = 4, ntyp = 3
/
ATOMIC_SPECIES
P 30.97 P.upf
Re 186.21 Re.upf
W 183.84 W.upf
CELL_PARAMETERS angstrom
4.4688 0.0012 0.0046
3.4142 2.8832 0.0046
1.1769 0.4306 4.2981
ATOMIC_POSITIONS crystal
P 0.9966 0.9966 0.0348
P 0.7548 0.7548 0.7119
Re 0.4929 0.4929 0.5753
W 0.2556 0.2556 0.1779
! SG   Cm, No. 8

=====

# 11
! RePW3 (PBE, optimized geometry); values from VASP
&SYSTEM
  ibrav = 0, nat = 5, ntyp = 3
/
ATOMIC_SPECIES
W 183.84 W.upf
Re 186.21 Re.upf
P 30.97 P.upf
CELL_PARAMETERS angstrom
4.3920 0.0000 0.0000
0.0000 4.3920 0.0000
0.0000 0.0000 4.3920
ATOMIC_POSITIONS crystal
W 0.0000 0.0000 0.5000
W 0.0000 0.5000 0.0000
W 0.5000 0.0000 0.0000
Re 0.5000 0.5000 0.5000
P 0.0000 0.0000 0.0000
! SG   Pm-3m, No. 221
! Energy relative to the lowest polymorph listed for this composition   0 meV/atom

=====

# 12
! ReP2W (PBE, optimized geometry); values from VASP
&SYSTEM
  ibrav = 0, nat = 4, ntyp = 3
/
ATOMIC_SPECIES
Re 186.21 Re.upf
W 183.84 W.upf
P 30.97 P.upf
CELL_PARAMETERS angstrom
-0.5052 -4.1247 -0.7487
2.4844 -0.9020 3.2929
-2.3918 -0.0329 1.7956
ATOMIC_POSITIONS crystal
Re 0.5000 0.0000 0.5000
W 0.0000 0.5000 0.5000
P 0.0000 0.0000 0.0000
P 0.5000 0.5000 0.0000
! SG   P4/mmm, No. 123

=====

| no. | magnetic moment (μB per formula unit) | ΔH_f (0 K) (meV per atom) |
| --- | --- | --- |
| 1 | 0.0 | 2265 |
| 2 | 0.0 | 170 |
| 3 | 0.0 | 28 |
| 4 | 0.0 | -175 |
| 5 | 0.0 | 68 |
| 6 | 0.0 | 199 |
| 7 | 0.0 | 371 |
| 8 | 0.0 | 630 |
| 9 | 0.0 | 264 |
| 10 | 0.0 | -200 |
| 11 | 0.0 | 1035 |
| 12 | 0.0 | -119 |